Crystalline ZrTe2Pb at its relaxed geometry, computed with PBE-GGA.

Unit cell a=5.4668 b=5.6856 c=5.6856 alpha=42.49 beta=90.00 gamma=90.00
Positions (direct):
Zr (0.0000, 0.0000, 0.0000)
Te (0.0000, 0.2828, 0.2828)
Te (0.5000, 0.9091, 0.9091)
Pb (0.5000, 0.6148, 0.6148)

## Properties
Uncorrected formation energy ... -0.351 eV/atom
Calculated volume ... 29.8 A^3/atom